(1)
Computed, not measured: FePb3 after structural relaxation at the PBE level of DFT.

The calculation puts the total DFT energy (no corrections) at -4.3463 eV per atom. As for the magnetization: 2.9 μB/f.u. Its space group is No. 123.

abc: 4.841 4.841 4.539
angles: 90.00 90.00 90.00
Element x y z (fractional)
Fe  0.000  0.000  0.000
Pb  0.000  0.500  0.500
Pb  0.500  0.000  0.500
Pb  0.500  0.500  0.000

***

(2)
Computed, not measured: Fe5Pb3 after structural relaxation at the PBE level of DFT.

The calculation puts the total DFT energy (no corrections) at -6.1496 eV per atom. As for the magnetization: 12.2 μB/f.u. Its space group is No. 193.

abc: 8.393 8.393 4.796
angles: 90.00 90.00 120.00
Element x y z (fractional)
Fe  0.000  0.162  0.250
Fe  0.000  0.838  0.750
Fe  0.162  0.000  0.250
Fe  0.162  0.162  0.750
Fe  0.333  0.667  0.000
Fe  0.333  0.667  0.500
Fe  0.667  0.333  0.000
Fe  0.667  0.333  0.500
Fe  0.838  0.000  0.750
Fe  0.838  0.838  0.250
Pb  0.000  0.380  0.750
Pb  0.000  0.620  0.250
Pb  0.380  0.000  0.750
Pb  0.380  0.380  0.250
Pb  0.620  0.000  0.250
Pb  0.620  0.620  0.750

***

(3)
Computed, not measured: Fe8Pb after structural relaxation at the PBE level of DFT.

The calculation puts the total DFT energy (no corrections) at -7.6389 eV per atom. As for the magnetization: 4.9 μB/f.u. Its space group is No. 139.

abc: 5.764 5.764 5.764
angles: 95.82 95.82 142.87
Element x y z (fractional)
Fe  0.000  0.355  0.355
Fe  0.000  0.645  0.645
Fe  0.315  0.315  0.630
Fe  0.315  0.685  0.000
Fe  0.355  0.000  0.355
Fe  0.645  0.000  0.645
Fe  0.685  0.315  0.000
Fe  0.685  0.685  0.370
Pb  0.000  0.000  0.000

***

(4)
Computed, not measured: Fe5Pb after structural relaxation at the PBE level of DFT.

The calculation puts the total DFT energy (no corrections) at -7.3860 eV per atom. As for the magnetization: 12.2 μB/f.u. Its space group is No. 12.

abc: 4.863 4.863 6.081
angles: 107.73 107.73 37.24
Element x y z (fractional)
Fe  0.000  0.000  0.000
Fe  0.325  0.325  0.142
Fe  0.325  0.325  0.692
Fe  0.675  0.675  0.308
Fe  0.675  0.675  0.858
Pb  0.000  0.000  0.500

***

Question: What is the magnetization in the second record?
Answer: 12.2 μB/f.u.